(1)
## SiPd3Ru (PBE-GGA)

Data for crystalline SiPd3Ru at its relaxed geometry.

```
SiPd3Ru
1.0
4.780 0.000 0.000
0.000 4.780 0.000
0.000 0.000 4.780
Si Pd Ru
1 3 1
direct
0.000 0.000 0.000
0.000 0.500 0.500
0.500 0.000 0.500
0.500 0.500 0.000
0.500 0.500 0.500
```

Results
**E above lowest polymorph**: 845 meV/atom
**Uncorrected formation energy**: 1.37 eV per atom

---

(2)
## SiHgAu2 (PBE-GGA)

Data for crystalline SiHgAu2 at its relaxed geometry.

```
SiHgAu2
1.0
1.754 -2.744 0.000
1.754 2.744 0.000
0.000 0.000 8.313
Si Hg Au
1 1 2
direct
0.000 0.000 0.000
0.000 0.000 0.500
0.500 0.500 0.219
0.500 0.500 0.781
```

Results
**E above lowest polymorph**: 160 meV/atom
**Uncorrected formation energy**: 0.22 eV per atom

---

(3)
## Er2ZrTe (PBE-GGA)

Data for crystalline Er2ZrTe at its relaxed geometry.

```
Er2ZrTe
1.0
3.701 0.000 0.000
-1.851 3.205 0.000
0.000 0.000 9.530
Er Zr Te
2 1 1
direct
0.000 0.000 0.232
0.000 0.000 0.768
0.667 0.333 0.500
0.667 0.333 0.000
```

Results
**E above lowest polymorph**: 71 meV/atom
**Uncorrected formation energy**: -0.41 eV per atom

---

(4)
## AcZn2Au5 (PBE-GGA)

Data for crystalline AcZn2Au5 at its relaxed geometry.

```
AcZn2Au5
1.0
-2.130 3.591 5.527
2.130 -3.591 5.527
2.130 3.591 -5.527
Ac Zn Au
1 2 5
direct
0.000 0.000 0.000
0.262 0.762 0.500
0.738 0.238 0.500
0.162 0.365 0.797
0.432 0.635 0.797
0.500 0.000 0.500
0.568 0.365 0.203
0.838 0.635 0.203
```

Results
**Formation energy from the elements**: -397 meV/atom